[1]
Computed, not measured: a geometry-optimized AlCd2Re structure at the PBE level of DFT.

The structure in CIF format:
```
data_AlCd2Re
_space_group_name_H-M_alt 'R -3 m'
_space_group_IT_number 166
_space_group_name_Hall '-R 3 2"'
_cell_length_a 2.9386
_cell_length_b 2.9386
_cell_length_c 28.7973
_cell_angle_alpha 90.00
_cell_angle_beta 90.00
_cell_angle_gamma 120.00
loop_
_atom_site_label
_atom_site_type_symbol
_atom_site_fract_x
_atom_site_fract_y
_atom_site_fract_z
Al1 Al 0.0000 0.0000 0.0000
Cd1 Cd 0.0000 0.0000 0.2495
Re1 Re 0.0000 0.0000 0.5000
```

Values from the calculation:
Formation enthalpy at 0 K ... 454.3 meV per atom

=====

[2]
Computed, not measured: a geometry-optimized LuMgZrAl structure at the PBE level of DFT.

The structure in CIF format:
```
data_LuMgZrAl
_space_group_name_H-M_alt 'F -4 3 m'
_space_group_IT_number 216
_space_group_name_Hall 'F -4 2 3'
_cell_length_a 7.026
_cell_length_b 7.026
_cell_length_c 7.026
_cell_angle_alpha 90.00
_cell_angle_beta 90.00
_cell_angle_gamma 90.00
loop_
_atom_site_label
_atom_site_type_symbol
_atom_site_fract_x
_atom_site_fract_y
_atom_site_fract_z
Lu1 Lu 0.000 0.000 0.000
Mg1 Mg 0.250 0.250 0.750
Zr1 Zr 0.000 0.000 0.500
Al1 Al 0.250 0.250 0.250
```

Values from the calculation:
Formation enthalpy at 0 K ... -178.6 meV per atom

=====

[3]
Computed, not measured: a geometry-optimized Ca2SmTe4 structure at the PBE level of DFT.

The structure in CIF format:
```
data_Ca2SmTe4
_space_group_name_H-M_alt 'C m c m'
_space_group_IT_number 63
_space_group_name_Hall '-C 2c 2'
_cell_length_a 4.291
_cell_length_b 14.631
_cell_length_c 15.295
_cell_angle_alpha 90.00
_cell_angle_beta 90.00
_cell_angle_gamma 90.00
loop_
_atom_site_label
_atom_site_type_symbol
_atom_site_fract_x
_atom_site_fract_y
_atom_site_fract_z
Ca1 Ca 0.000 0.136 0.071
Sm1 Sm 0.000 0.383 0.250
Te1 Te 0.000 0.039 0.250
Te2 Te 0.000 0.212 0.623
Te3 Te 0.000 0.500 0.000
```

Values from the calculation:
E_form (uncorrected) ... -127.64 kJ/mol of atoms

=====

[4]
Computed, not measured: a geometry-optimized Pm2DyI2N2 structure at the PBE level of DFT.

The structure in CIF format:
```
data_Pm2DyI2N2
_space_group_name_H-M_alt 'I 4/m m m'
_space_group_IT_number 139
_space_group_name_Hall '-I 4 2'
_cell_length_a 4.486
_cell_length_b 4.486
_cell_length_c 19.571
_cell_angle_alpha 90.00
_cell_angle_beta 90.00
_cell_angle_gamma 90.00
loop_
_atom_site_label
_atom_site_type_symbol
_atom_site_fract_x
_atom_site_fract_y
_atom_site_fract_z
Pm1 Pm 0.000 0.000 0.075
Dy1 Dy 0.000 0.000 0.500
I1 I 0.000 0.000 0.338
N1 N 0.000 0.500 0.000
```

Values from the calculation:
E_form (uncorrected) ... -117.60 kJ/mol of atoms

=====

no.,VASP energy (eV/cell),DOS at the Fermi energy (states/eV per cell)
1,-48.6,8.00
2,-76.5,13.51
3,-122.2,12.29
4,-84.8,5.48